Compound: Ca2ZrNi2
Source: Alexandria
Functional: PBE-GGA
Structure: relaxed

## Properties
Total energy = -4.4761 eV per atom
Space-group type = No. 139
ΔE to the lowest computed polymorph = 393 meV per atom
Magnetization = 0.04 μB/f.u.

Geometry as extended XYZ:
```
5
Lattice="5.251 4.067 -1.756 0.773 6.784 0.757 -1.808 -5.854 3.108" Properties=species:S:1:pos:R:3 pbc="T T T"
Ca 0.988 3.178 1.683
Ca 3.227 1.820 0.426
Zr 0.000 0.000 0.000
Ni 3.550 6.395 -0.589
Ni 2.474 4.457 -0.410
```